A plane-wave DFT calculation with GGA-PBE was carried out for an optimized crystal structure of SrErHgBi.

## Properties
ΔE_f, eV per formula unit: -1.9
Electronic total energy, eV/f.u.: -12.360

Cell and atoms, written as CIF:
```
data_SrErHgBi
_chemical_formula_sum 'Sr4 Er4 Hg4 Bi4'
_symmetry_space_group_name_H-M 'F -4 3 m'
_symmetry_Int_Tables_number 216
_symmetry_space_group_name_Hall 'F -4 2 3'
_cell_length_a 7.8615
_cell_length_b 7.8615
_cell_length_c 7.8615
_cell_angle_alpha 90.00
_cell_angle_beta 90.00
_cell_angle_gamma 90.00
loop_
_atom_site_label
_atom_site_type_symbol
_atom_site_fract_x
_atom_site_fract_y
_atom_site_fract_z
Sr1 Sr 0.0000 0.0000 0.0000
Er1 Er 0.0000 0.0000 0.5000
Hg1 Hg 0.2500 0.2500 0.7500
Bi1 Bi 0.2500 0.2500 0.2500
```